1.
# SrMg3As (PBE-GGA, optimized geometry)
data_SrMg3As
_space_group_name_H-M_alt 'P m -3 m'
_space_group_IT_number 221
_space_group_name_Hall '-P 4 2 3'
_cell_length_a 6.331
_cell_length_b 6.331
_cell_length_c 6.331
_cell_angle_alpha 90.00
_cell_angle_beta 90.00
_cell_angle_gamma 90.00
loop_
_atom_site_label
_atom_site_type_symbol
_atom_site_fract_x
_atom_site_fract_y
_atom_site_fract_z
_atom_site_occupancy
Sr1 Sr 0.000 0.000 0.000 1
Mg1 Mg 0.000 0.000 0.500 1
As1 As 0.500 0.500 0.500 1
# DFT formation energy in eV per atom: 1.244
# Magnetic moment in μB per formula unit: 1.16

---

2.
# Sr3Mg2As4 (PBE-GGA, optimized geometry)
data_Sr3Mg2As4
_space_group_name_H-M_alt 'P -1'
_space_group_IT_number 2
_cell_length_a 4.454
_cell_length_b 7.161
_cell_length_c 8.521
_cell_angle_alpha 68.93
_cell_angle_beta 74.86
_cell_angle_gamma 89.99
loop_
_space_group_symop_operation_xyz
'x,y,z'
'-x,-y,-z'
loop_
_atom_site_label
_atom_site_type_symbol
_atom_site_fract_x
_atom_site_fract_y
_atom_site_fract_z
_atom_site_occupancy
Sr1 Sr 0.000 0.000 0.000 1
Sr2 Sr 0.140 0.563 0.720 1
Mg1 Mg 0.324 0.022 0.351 1
As1 As 0.208 0.202 0.584 1
As2 As 0.492 0.316 0.016 1
# DFT formation energy in eV per atom: -0.982
# Magnetic moment in μB per formula unit: 0.00

---

3.
# Sr3MgU3As8 (PBE-GGA, optimized geometry)
data_Sr3MgU3As8
_space_group_name_H-M_alt 'R -3 m'
_space_group_IT_number 166
_space_group_name_Hall '-R 3 2"'
_cell_length_a 8.3113
_cell_length_b 8.3113
_cell_length_c 21.3919
_cell_angle_alpha 90.00
_cell_angle_beta 90.00
_cell_angle_gamma 120.00
loop_
_atom_site_label
_atom_site_type_symbol
_atom_site_fract_x
_atom_site_fract_y
_atom_site_fract_z
_atom_site_occupancy
Sr1 Sr 0.0000 0.5000 0.0000 1
Mg1 Mg 0.0000 0.0000 0.5000 1
U1 U 0.0000 0.5000 0.5000 1
As1 As 0.0000 0.0000 0.2390 1
As2 As 0.0161 0.5081 0.7629 1
# DFT formation energy in eV per atom: -0.710
# Magnetic moment in μB per formula unit: 2.05

---

Question: Number 2 is which compound?
Answer: Sr3Mg2As4

---

Please write out number 2 again, unchanged.
# Sr3Mg2As4 (PBE-GGA, optimized geometry)
data_Sr3Mg2As4
_space_group_name_H-M_alt 'P -1'
_space_group_IT_number 2
_cell_length_a 4.454
_cell_length_b 7.161
_cell_length_c 8.521
_cell_angle_alpha 68.93
_cell_angle_beta 74.86
_cell_angle_gamma 89.99
loop_
_space_group_symop_operation_xyz
'x,y,z'
'-x,-y,-z'
loop_
_atom_site_label
_atom_site_type_symbol
_atom_site_fract_x
_atom_site_fract_y
_atom_site_fract_z
_atom_site_occupancy
Sr1 Sr 0.000 0.000 0.000 1
Sr2 Sr 0.140 0.563 0.720 1
Mg1 Mg 0.324 0.022 0.351 1
As1 As 0.208 0.202 0.584 1
As2 As 0.492 0.316 0.016 1
# DFT formation energy in eV per atom: -0.982
# Magnetic moment in μB per formula unit: 0.00